This record from Alexandria describes ZrRhN2 at its PBEsol-relaxed geometry. The functional is meta-GGA SCAN.

Cell: 5.5051 5.5051 5.5051 Å, 90.00 90.00 90.00°
Space group Fm-3m (No. 225)
Unique sites:
Zr: 0.0000 0.0000 0.0000 [4 per cell]
Rh: 0.0000 0.0000 0.5000 [4 per cell]
N: 0.2500 0.2500 0.2500 [8 per cell]

## Properties
- Final energy: -20.944 eV/atom
- Formation energy (no corrections): -181 meV per atom



This record from Alexandria describes RuS2N2 at its PBEsol-relaxed geometry. The functional is meta-GGA SCAN.

Cell: 3.6706 3.6706 5.1661 Å, 90.00 90.00 90.00°
Space group P4/mmm (No. 123)
Unique sites:
Ru: 0.0000 0.0000 0.0000 [1 per cell]
S: 0.0000 0.0000 0.5000 [1 per cell]
S: 0.5000 0.5000 0.5000 [1 per cell]
N: 0.0000 0.5000 0.0000 [2 per cell]

## Properties
- Final energy: -13.543 eV/atom
- Formation energy (no corrections): 990 meV per atom



This record from Alexandria describes RuS3N at its PBEsol-relaxed geometry. The functional is meta-GGA SCAN.

Cell: 4.5411 4.5411 4.5411 Å, 90.00 90.00 90.00°
Space group Pm-3m (No. 221)
Unique sites:
Ru: 0.0000 0.0000 0.0000 [1 per cell]
S: 0.0000 0.0000 0.5000 [3 per cell]
N: 0.5000 0.5000 0.5000 [1 per cell]

## Properties
- Final energy: -13.245 eV/atom
- Formation energy (no corrections): 1355 meV per atom



This record from Alexandria describes ScRuS2N at its PBEsol-relaxed geometry. The functional is meta-GGA SCAN.

Cell: 4.7360 4.7360 3.6087 Å, 90.00 90.00 90.00°
Space group P4/mmm (No. 123)
Unique sites:
Sc: 0.0000 0.0000 0.0000 [1 per cell]
Ru: 0.5000 0.5000 0.5000 [1 per cell]
S: 0.0000 0.5000 0.5000 [2 per cell]
N: 0.5000 0.5000 0.0000 [1 per cell]

## Properties
- Final energy: -15.955 eV/atom
- Formation energy (no corrections): -433 meV per atom



This record from Alexandria describes SrRuS2N at its PBEsol-relaxed geometry. The functional is meta-GGA SCAN.

Cell: 5.3728 5.3728 4.5531 Å, 90.00 90.00 90.00°
Space group P4/mmm (No. 123)
Unique sites:
Sr: 0.0000 0.0000 0.0000 [1 per cell]
Ru: 0.5000 0.5000 0.5000 [1 per cell]
S: 0.0000 0.5000 0.0000 [2 per cell]
N: 0.0000 0.0000 0.5000 [1 per cell]

## Properties
- Final energy: -15.705 eV/atom
- Formation energy (no corrections): 1425 meV per atom



This record from Alexandria describes TaRuSN2 at its PBEsol-relaxed geometry. The functional is meta-GGA SCAN.

Cell: 3.7538 3.7538 4.6866 Å, 90.00 90.00 90.00°
Space group P4/mmm (No. 123)
Unique sites:
Ta: 0.0000 0.0000 0.0000 [1 per cell]
Ru: 0.5000 0.5000 0.5000 [1 per cell]
S: 0.5000 0.5000 0.0000 [1 per cell]
N: 0.0000 0.5000 0.5000 [2 per cell]

## Properties
- Final energy: -24.944 eV/atom
- Formation energy (no corrections): 980 meV per atom



This record from Alexandria describes TcRuSN2 at its PBEsol-relaxed geometry. The functional is meta-GGA SCAN.

Cell: 3.7059 3.7059 5.0274 Å, 90.00 90.00 90.00°
Space group P4/mmm (No. 123)
Unique sites:
Tc: 0.0000 0.0000 0.0000 [1 per cell]
Ru: 0.5000 0.5000 0.5000 [1 per cell]
S: 0.5000 0.5000 0.0000 [1 per cell]
N: 0.0000 0.5000 0.5000 [2 per cell]

## Properties
- Final energy: -18.627 eV/atom
- Formation energy (no corrections): 992 meV per atom



This record from Alexandria describes ZrRuSN2 at its PBEsol-relaxed geometry. The functional is meta-GGA SCAN.

Cell: 3.7950 3.7950 4.6374 Å, 90.00 90.00 90.00°
Space group P4/mmm (No. 123)
Unique sites:
Zr: 0.0000 0.0000 0.0000 [1 per cell]
Ru: 0.5000 0.5000 0.5000 [1 per cell]
S: 0.5000 0.5000 0.0000 [1 per cell]
N: 0.0000 0.5000 0.5000 [2 per cell]

## Properties
- Final energy: -18.596 eV/atom
- Formation energy (no corrections): 151 meV per atom